(1)
VASP calculation (GGA-PBE) on crystalline SmScBi at its relaxed geometry.

Results
SG = F-43m, No. 216
theoretical density = 7.194 g cm⁻³
final energy = -15.96 eV/cell

```
data_SmScBi
_symmetry_space_group_name_H-M 'P 1'
_symmetry_Int_Tables_number 1
_symmetry_space_group_name_Hall 'P 1'
_cell_length_a 5.0912
_cell_length_b 5.0912
_cell_length_c 5.0912
_cell_angle_alpha 60.00
_cell_angle_beta 60.00
_cell_angle_gamma 60.00
loop_
_atom_site_label
_atom_site_type_symbol
_atom_site_fract_x
_atom_site_fract_y
_atom_site_fract_z
Sm1 Sm 0.0000 0.0000 0.0000
Sc1 Sc 0.5000 0.5000 0.5000
Bi1 Bi 0.7500 0.7500 0.7500
```



(2)
VASP calculation (GGA-PBE) on crystalline SmYSc2Bi2 at its relaxed geometry.

Results
SG = I4mm, No. 107
theoretical density = 7.549 g cm⁻³
final energy = -35.77 eV/cell

```
data_SmYSc2Bi2
_symmetry_space_group_name_H-M 'P 1'
_symmetry_Int_Tables_number 1
_symmetry_space_group_name_Hall 'P 1'
_cell_length_a 8.9068
_cell_length_b 8.9068
_cell_length_c 8.9068
_cell_angle_alpha 151.13
_cell_angle_beta 151.13
_cell_angle_gamma 41.29
loop_
_atom_site_label
_atom_site_type_symbol
_atom_site_fract_x
_atom_site_fract_y
_atom_site_fract_z
Sm1 Sm 0.0000 0.0000 0.0000
Y1 Y 0.3523 0.3523 0.0000
Sc1 Sc 0.1767 0.6767 0.5000
Sc2 Sc 0.6767 0.1767 0.5000
Bi1 Bi 0.5466 0.5466 0.0000
Bi2 Bi 0.8060 0.8060 0.0000
```



(3)
VASP calculation (GGA-PBE) on crystalline ScTaBi at its relaxed geometry.

Results
SG = F-43m, No. 216
theoretical density = 9.043 g cm⁻³
final energy = -20.11 eV/cell

```
data_ScTaBi
_symmetry_space_group_name_H-M 'P 1'
_symmetry_Int_Tables_number 1
_symmetry_space_group_name_Hall 'P 1'
_cell_length_a 4.8336
_cell_length_b 4.8336
_cell_length_c 4.8336
_cell_angle_alpha 60.00
_cell_angle_beta 60.00
_cell_angle_gamma 60.00
loop_
_atom_site_label
_atom_site_type_symbol
_atom_site_fract_x
_atom_site_fract_y
_atom_site_fract_z
Sc1 Sc 0.0000 0.0000 0.0000
Ta1 Ta 0.7500 0.7500 0.7500
Bi1 Bi 0.5000 0.5000 0.5000
```



(4)
VASP calculation (GGA-PBE) on crystalline ScTa2Bi at its relaxed geometry.

Results
SG = F-43m, No. 216
theoretical density = 12.602 g cm⁻³
final energy = -33.22 eV/cell

```
data_ScTa2Bi
_symmetry_space_group_name_H-M 'P 1'
_symmetry_Int_Tables_number 1
_symmetry_space_group_name_Hall 'P 1'
_cell_length_a 4.8595
_cell_length_b 4.8595
_cell_length_c 4.8595
_cell_angle_alpha 60.00
_cell_angle_beta 60.00
_cell_angle_gamma 60.00
loop_
_atom_site_label
_atom_site_type_symbol
_atom_site_fract_x
_atom_site_fract_y
_atom_site_fract_z
Sc1 Sc 0.0000 0.0000 0.0000
Ta1 Ta 0.2500 0.2500 0.2500
Ta2 Ta 0.5000 0.5000 0.5000
Bi1 Bi 0.7500 0.7500 0.7500
```